## Rb3InGe (PBE)

Data for Rb3InGe after structural relaxation.

Total energy = -8.44 eV/f.u.
Relative energy among the computed polymorphs = 0.00 kcal/mol of atoms
Energy of formation from the pure elements = 364 meV/atom

a = 6.829 Å, b = 6.829 Å, c = 6.829 Å
α = 90.00°, β = 90.00°, γ = 90.00°
Space group Pm-3m (No. 221)
Asymmetric unit:
Rb 0.000 0.000 0.500
In 0.500 0.500 0.500
Ge 0.000 0.000 0.000

## Rb3In8Ge3 (PBE)

Data for Rb3In8Ge3 after structural relaxation.

Total energy = -38.97 eV/f.u.
Relative energy among the computed polymorphs = 0.00 kcal/mol of atoms
Energy of formation from the pure elements = -22 meV/atom

a = 18.491 Å, b = 5.064 Å, c = 11.105 Å
α = 90.00°, β = 126.87°, γ = 90.00°
Space group C2/m (No. 12)
Asymmetric unit:
Rb 0.000 0.000 0.000
Rb 0.195 0.500 0.698
In 0.005 0.500 0.701
In 0.138 0.000 0.423
In 0.155 0.000 0.883
In 0.165 0.500 0.295
Ge 0.000 0.000 0.500
Ge 0.160 0.500 0.026

## RbInGe2 (PBE)

Data for RbInGe2 after structural relaxation.

Total energy = -12.91 eV/f.u.
Energy of formation from the pure elements = 8 meV/atom

a = 3.871 Å, b = 3.871 Å, c = 7.636 Å
α = 90.00°, β = 90.00°, γ = 90.00°
Space group P4/mmm (No. 123)
Asymmetric unit:
Rb 0.000 0.000 0.000
In 0.000 0.000 0.500
Ge 0.500 0.500 0.333

## Rb2In5Ge3 (PBE)

Data for Rb2In5Ge3 after structural relaxation.

Total energy = -30.21 eV/f.u.
Energy of formation from the pure elements = -73 meV/atom

a = 5.035 Å, b = 5.035 Å, c = 11.540 Å
α = 90.00°, β = 90.00°, γ = 90.00°
Space group P-4m2 (No. 115)
Asymmetric unit:
Rb 0.000 0.500 0.236
In 0.000 0.000 0.500
In 0.000 0.500 0.649
In 0.500 0.500 0.000
In 0.500 0.500 0.500
Ge 0.000 0.000 0.000
Ge 0.000 0.500 0.891

## RbIn3Ge (PBE)

Data for RbIn3Ge after structural relaxation.

Total energy = -12.95 eV/f.u.
Relative energy among the computed polymorphs = 4.42 kcal/mol of atoms
Energy of formation from the pure elements = 169 meV/atom

a = 5.689 Å, b = 5.689 Å, c = 5.689 Å
α = 90.00°, β = 90.00°, γ = 90.00°
Space group Pm-3m (No. 221)
Asymmetric unit:
Rb 0.000 0.000 0.000
In 0.000 0.500 0.500
Ge 0.500 0.500 0.500

## RbIn3Ge2 (PBE)

Data for RbIn3Ge2 after structural relaxation.

Total energy = -18.34 eV/f.u.
Energy of formation from the pure elements = 13 meV/atom

a = 19.532 Å, b = 4.505 Å, c = 8.482 Å
α = 90.00°, β = 92.59°, γ = 90.00°
Space group C2/m (No. 12)
Asymmetric unit:
Rb 0.098 0.000 0.260
In 0.091 0.000 0.790
In 0.185 0.500 0.560
In 0.187 0.500 0.954
Ge 0.042 0.500 0.613
Ge 0.246 0.000 0.730